# 1
A relaxed structure of InCoPd2. Source: Alexandria via LeMat-Bulk, functional GGA-PBE.

Unit cell a=3.867 b=3.867 c=18.290 alpha=90.00 beta=90.00 gamma=90.00
Fractional coordinates of all 16 atoms:
In1 0.000 0.000 0.000
In2 0.000 0.500 0.250
In3 0.500 0.000 0.750
In4 0.500 0.500 0.500
Co1 0.000 0.000 0.500
Co2 0.000 0.500 0.750
Co3 0.500 0.000 0.250
Co4 0.500 0.500 0.000
Pd1 0.238 0.250 0.625
Pd2 0.250 0.738 0.875
Pd3 0.250 0.762 0.375
Pd4 0.262 0.250 0.125
Pd5 0.738 0.750 0.125
Pd6 0.750 0.238 0.375
Pd7 0.750 0.262 0.875
Pd8 0.762 0.750 0.625

Results
Calculated formation energy (meV/atom): 179

***

# 2
A relaxed structure of V2Fe7Si3. Source: Alexandria via LeMat-Bulk, functional GGA-PBE.

Unit cell a=10.038 b=10.038 c=3.809 alpha=90.00 beta=90.00 gamma=157.82
Fractional coordinates of all 12 atoms:
V1 0.152 0.848 0.000
V2 0.848 0.152 0.000
Fe1 0.074 0.926 0.500
Fe2 0.285 0.715 0.000
Fe3 0.428 0.572 0.000
Fe4 0.500 0.500 0.500
Fe5 0.572 0.428 0.000
Fe6 0.715 0.285 0.000
Fe7 0.926 0.074 0.500
Si1 0.000 0.000 0.000
Si2 0.351 0.649 0.500
Si3 0.649 0.351 0.500

Results
Energy relative to the elements, uncorrected (eV per atom): -0.1852

***

# 3
A relaxed structure of SrDy2YSe4. Source: Alexandria via LeMat-Bulk, functional GGA-PBE.

Unit cell a=7.208 b=4.133 c=7.209 alpha=90.00 beta=109.08 gamma=90.00
Fractional coordinates of all 8 atoms:
Sr1 0.000 0.000 0.000
Dy1 0.500 0.000 0.500
Dy2 0.500 0.500 0.000
Y1 0.000 0.500 0.500
Se1 0.256 0.000 0.746
Se2 0.262 0.500 0.261
Se3 0.738 0.500 0.739
Se4 0.744 0.000 0.254

Results
Energy relative to the elements, uncorrected (eV per atom): -1.7998

***

# 4
A relaxed structure of PuScRuPb. Source: Alexandria via LeMat-Bulk, functional GGA-PBE.

Unit cell a=3.283 b=3.283 c=8.222 alpha=90.00 beta=90.00 gamma=90.00
Fractional coordinates of all 4 atoms:
Pu1 0.000 0.000 0.000
Sc1 0.000 0.000 0.598
Ru1 0.500 0.500 0.782
Pb1 0.500 0.500 0.316

Results
Calculated formation energy (meV/atom): -327

***

# 5
A relaxed structure of Sc3Ti2NbN6. Source: Alexandria via LeMat-Bulk, functional GGA-PBE.

Unit cell a=5.374 b=5.374 c=5.428 alpha=99.55 beta=99.55 gamma=119.96
Fractional coordinates of all 12 atoms:
Sc1 0.000 0.000 0.000
Sc2 0.333 0.667 0.000
Sc3 0.667 0.333 0.000
Ti1 0.168 0.832 0.500
Ti2 0.832 0.168 0.500
Nb1 0.500 0.500 0.500
N1 0.080 0.420 0.260
N2 0.241 0.241 0.741
N3 0.420 0.080 0.260
N4 0.580 0.920 0.740
N5 0.759 0.759 0.259
N6 0.920 0.580 0.740

Results
Energy relative to the elements, uncorrected (eV per atom): -1.7160

***

# 6
A relaxed structure of Ac6ZnPd2. Source: Alexandria via LeMat-Bulk, functional GGA-PBE.

Unit cell a=9.328 b=9.328 c=9.328 alpha=113.36 beta=109.46 gamma=105.69
Fractional coordinates of all 18 atoms:
Ac1 0.054 0.240 0.814
Ac2 0.174 0.285 0.459
Ac3 0.174 0.715 0.890
Ac4 0.331 0.021 0.691
Ac5 0.331 0.640 0.309
Ac6 0.425 0.240 0.186
Ac7 0.575 0.760 0.814
Ac8 0.669 0.360 0.691
Ac9 0.669 0.979 0.309
Ac10 0.826 0.285 0.110
Ac11 0.826 0.715 0.541
Ac12 0.946 0.760 0.186
Zn1 0.000 0.000 0.000
Zn2 0.500 0.500 0.000
Pd1 0.129 0.629 0.500
Pd2 0.338 0.000 0.338
Pd3 0.662 0.000 0.662
Pd4 0.871 0.371 0.500

Results
Calculated formation energy (meV/atom): -389

***

# 7
A relaxed structure of TaCuTc3. Source: Alexandria via LeMat-Bulk, functional GGA-PBE.

Unit cell a=4.410 b=4.410 c=4.410 alpha=90.00 beta=90.00 gamma=90.00
Fractional coordinates of all 5 atoms:
Ta1 0.000 0.000 0.000
Cu1 0.500 0.500 0.500
Tc1 0.000 0.500 0.500
Tc2 0.500 0.000 0.500
Tc3 0.500 0.500 0.000

Results
Energy above the most stable polymorph in this dataset (eV per atom): 0.000
Calculated formation energy (meV/atom): 1423

***

# 8
A relaxed structure of TbTmBe2. Source: Alexandria via LeMat-Bulk, functional GGA-PBE.

Unit cell a=6.786 b=6.786 c=6.786 alpha=90.00 beta=90.00 gamma=90.00
Fractional coordinates of all 16 atoms:
Tb1 0.000 0.000 0.000
Tb2 0.000 0.500 0.500
Tb3 0.500 0.000 0.500
Tb4 0.500 0.500 0.000
Tm1 0.000 0.000 0.500
Tm2 0.000 0.500 0.000
Tm3 0.500 0.000 0.000
Tm4 0.500 0.500 0.500
Be1 0.250 0.250 0.250
Be2 0.250 0.250 0.750
Be3 0.250 0.750 0.250
Be4 0.250 0.750 0.750
Be5 0.750 0.250 0.250
Be6 0.750 0.250 0.750
Be7 0.750 0.750 0.250
Be8 0.750 0.750 0.750

Results
Calculated formation energy (meV/atom): 93

***

# 9
A relaxed structure of CaTaAs. Source: Alexandria via LeMat-Bulk, functional GGA-PBE.

Unit cell a=3.930 b=5.104 c=12.945 alpha=90.00 beta=90.00 gamma=90.00
Fractional coordinates of all 12 atoms:
Ca1 0.000 0.000 0.000
Ca2 0.000 0.500 0.500
Ca3 0.500 0.000 0.500
Ca4 0.500 0.500 0.000
Ta1 0.000 0.000 0.301
Ta2 0.000 0.500 0.801
Ta3 0.500 0.000 0.801
Ta4 0.500 0.500 0.301
As1 0.000 0.000 0.673
As2 0.000 0.500 0.173
As3 0.500 0.000 0.173
As4 0.500 0.500 0.673

Results
Energy above the most stable polymorph in this dataset (eV per atom): 0.574
Calculated formation energy (meV/atom): -62

***

# 10
A relaxed structure of MnAgW. Source: Alexandria via LeMat-Bulk, functional GGA-PBE.

Unit cell a=2.809 b=2.809 c=7.048 alpha=90.00 beta=90.00 gamma=120.00
Fractional coordinates of all 3 atoms:
Mn1 0.000 0.000 0.000
Ag1 0.333 0.667 0.669
W1 0.667 0.333 0.313

Results
Energy above the most stable polymorph in this dataset (eV per atom): 0.071
Calculated formation energy (meV/atom): 496

***

# 11
A relaxed structure of MnAlTc2. Source: Alexandria via LeMat-Bulk, functional GGA-PBE.

Unit cell a=6.008 b=6.008 c=6.008 alpha=90.00 beta=90.00 gamma=90.00
Fractional coordinates of all 16 atoms:
Mn1 0.000 0.000 0.000
Mn2 0.000 0.500 0.500
Mn3 0.500 0.000 0.500
Mn4 0.500 0.500 0.000
Al1 0.250 0.250 0.750
Al2 0.250 0.750 0.250
Al3 0.750 0.250 0.250
Al4 0.750 0.750 0.750
Tc1 0.000 0.000 0.500
Tc2 0.000 0.500 0.000
Tc3 0.250 0.250 0.250
Tc4 0.250 0.750 0.750
Tc5 0.500 0.000 0.000
Tc6 0.500 0.500 0.500
Tc7 0.750 0.250 0.750
Tc8 0.750 0.750 0.250

Results
Calculated formation energy (meV/atom): -95

***

# 12
A relaxed structure of KTe3Se. Source: Alexandria via LeMat-Bulk, functional GGA-PBE.

Unit cell a=6.117 b=6.117 c=6.117 alpha=90.00 beta=90.00 gamma=90.00
Fractional coordinates of all 5 atoms:
K1 0.000 0.000 0.000
Te1 0.000 0.000 0.500
Te2 0.000 0.500 0.000
Te3 0.500 0.000 0.000
Se1 0.500 0.500 0.500

Results
Energy above the most stable polymorph in this dataset (eV per atom): 1.188
Energy relative to the elements, uncorrected (eV per atom): 1.1039

***

# 13
A relaxed structure of LiLaTmNi. Source: Alexandria via LeMat-Bulk, functional GGA-PBE.

Unit cell a=7.100 b=7.100 c=7.100 alpha=90.00 beta=90.00 gamma=90.00
Fractional coordinates of all 16 atoms:
Li1 0.000 0.000 0.000
Li2 0.000 0.500 0.500
Li3 0.500 0.000 0.500
Li4 0.500 0.500 0.000
La1 0.250 0.250 0.750
La2 0.250 0.750 0.250
La3 0.750 0.250 0.250
La4 0.750 0.750 0.750
Tm1 0.250 0.250 0.250
Tm2 0.250 0.750 0.750
Tm3 0.750 0.250 0.750
Tm4 0.750 0.750 0.250
Ni1 0.000 0.000 0.500
Ni2 0.000 0.500 0.000
Ni3 0.500 0.000 0.000
Ni4 0.500 0.500 0.500

Results
Calculated formation energy (meV/atom): -94

***

# 14
A relaxed structure of UMn4Ge2. Source: Alexandria via LeMat-Bulk, functional GGA-PBE.

Unit cell a=3.650 b=3.650 c=15.709 alpha=90.00 beta=90.00 gamma=90.00
Fractional coordinates of all 14 atoms:
U1 0.000 0.000 0.000
U2 0.500 0.500 0.500
Mn1 0.000 0.000 0.136
Mn2 0.000 0.000 0.864
Mn3 0.000 0.500 0.250
Mn4 0.000 0.500 0.750
Mn5 0.500 0.000 0.250
Mn6 0.500 0.000 0.750
Mn7 0.500 0.500 0.364
Mn8 0.500 0.500 0.636
Ge1 0.000 0.000 0.369
Ge2 0.000 0.000 0.631
Ge3 0.500 0.500 0.131
Ge4 0.500 0.500 0.869

Results
Calculated formation energy (meV/atom): -22

***

# 15
A relaxed structure of DyPaAlTl. Source: Alexandria via LeMat-Bulk, functional GGA-PBE.

Unit cell a=7.424 b=7.424 c=7.424 alpha=90.00 beta=90.00 gamma=90.00
Fractional coordinates of all 16 atoms:
Dy1 0.000 0.000 0.000
Dy2 0.000 0.500 0.500
Dy3 0.500 0.000 0.500
Dy4 0.500 0.500 0.000
Pa1 0.000 0.000 0.500
Pa2 0.000 0.500 0.000
Pa3 0.500 0.000 0.000
Pa4 0.500 0.500 0.500
Al1 0.250 0.250 0.250
Al2 0.250 0.750 0.750
Al3 0.750 0.250 0.750
Al4 0.750 0.750 0.250
Tl1 0.250 0.250 0.750
Tl2 0.250 0.750 0.250
Tl3 0.750 0.250 0.250
Tl4 0.750 0.750 0.750

Results
Calculated formation energy (meV/atom): 21

***

# 16
A relaxed structure of BaFe2Mo. Source: Alexandria via LeMat-Bulk, functional GGA-PBE.

Unit cell a=7.149 b=7.149 c=6.565 alpha=90.00 beta=90.00 gamma=90.00
Fractional coordinates of all 16 atoms:
Ba1 0.000 0.000 0.000
Ba2 0.000 0.500 0.250
Ba3 0.500 0.000 0.750
Ba4 0.500 0.500 0.500
Fe1 0.170 0.250 0.625
Fe2 0.250 0.670 0.875
Fe3 0.250 0.830 0.375
Fe4 0.330 0.250 0.125
Fe5 0.670 0.750 0.125
Fe6 0.750 0.170 0.375
Fe7 0.750 0.330 0.875
Fe8 0.830 0.750 0.625
Mo1 0.000 0.000 0.500
Mo2 0.000 0.500 0.750
Mo3 0.500 0.000 0.250
Mo4 0.500 0.500 0.000

Results
Energy above the most stable polymorph in this dataset (eV per atom): 0.654
Calculated formation energy (meV/atom): 1185

***

# 17
A relaxed structure of Y2NbIr2. Source: Alexandria via LeMat-Bulk, functional GGA-PBE.

Unit cell a=6.828 b=6.828 c=4.587 alpha=90.00 beta=90.00 gamma=90.00
Fractional coordinates of all 10 atoms:
Y1 0.175 0.325 0.000
Y2 0.325 0.825 0.000
Y3 0.675 0.175 0.000
Y4 0.825 0.675 0.000
Nb1 0.000 0.000 0.500
Nb2 0.500 0.500 0.500
Ir1 0.138 0.638 0.500
Ir2 0.362 0.138 0.500
Ir3 0.638 0.862 0.500
Ir4 0.862 0.362 0.500

Results
Calculated formation energy (meV/atom): -571

***

# 18
A relaxed structure of Cs2ScAlBr6. Source: Alexandria via LeMat-Bulk, functional GGA-PBE.

Unit cell a=8.062 b=8.062 c=8.062 alpha=60.00 beta=60.00 gamma=60.00
Fractional coordinates of all 10 atoms:
Cs1 0.250 0.250 0.250
Cs2 0.750 0.750 0.750
Sc1 0.000 0.000 0.000
Al1 0.500 0.500 0.500
Br1 0.235 0.235 0.765
Br2 0.235 0.765 0.235
Br3 0.235 0.765 0.765
Br4 0.765 0.235 0.235
Br5 0.765 0.235 0.765
Br6 0.765 0.765 0.235

Results
Energy relative to the elements, uncorrected (eV per atom): -1.4754

***

# 19
A relaxed structure of Pm2SmTmH. Source: Alexandria via LeMat-Bulk, functional GGA-PBE.

Unit cell a=5.091 b=5.091 c=5.022 alpha=90.00 beta=90.00 gamma=90.00
Fractional coordinates of all 5 atoms:
Pm1 0.000 0.500 0.000
Pm2 0.500 0.000 0.000
Sm1 0.000 0.000 0.500
Tm1 0.500 0.500 0.500
H1 0.500 0.500 0.000

Results
E_tot (eV/atom): -4.58

***

# 20
A relaxed structure of Ce8CoRh2. Source: Alexandria via LeMat-Bulk, functional GGA-PBE.

Unit cell a=8.015 b=8.015 c=5.688 alpha=105.25 beta=105.25 gamma=123.28
Fractional coordinates of all 11 atoms:
Ce1 0.000 0.000 0.000
Ce2 0.092 0.847 0.524
Ce3 0.308 0.308 0.676
Ce4 0.433 0.635 0.340
Ce5 0.457 0.882 0.859
Ce6 0.635 0.433 0.340
Ce7 0.847 0.092 0.524
Ce8 0.882 0.457 0.859
Co1 0.674 0.674 0.968
Rh1 0.372 0.972 0.293
Rh2 0.972 0.372 0.293

Results
Calculated formation energy (meV/atom): -249

***

# 21
A relaxed structure of KNi2Sb. Source: Alexandria via LeMat-Bulk, functional GGA-PBE.

Unit cell a=4.074 b=4.074 c=9.175 alpha=90.00 beta=90.00 gamma=90.00
Fractional coordinates of all 8 atoms:
K1 0.000 0.000 0.000
K2 0.500 0.500 0.500
Ni1 0.000 0.000 0.500
Ni2 0.000 0.500 0.750
Ni3 0.500 0.000 0.250
Ni4 0.500 0.500 0.000
Sb1 0.000 0.500 0.250
Sb2 0.500 0.000 0.750

Results
Energy relative to the elements, uncorrected (eV per atom): 0.6254

***

# 22
A relaxed structure of Ho9Er4Tm11. Source: Alexandria via LeMat-Bulk, functional GGA-PBE.

Unit cell a=14.856 b=14.856 c=3.610 alpha=90.00 beta=90.00 gamma=112.88
Fractional coordinates of all 24 atoms:
Ho1 0.000 0.000 0.000
Ho2 0.132 0.664 0.000
Ho3 0.286 0.431 0.000
Ho4 0.336 0.868 0.000
Ho5 0.431 0.286 0.000
Ho6 0.569 0.714 0.000
Ho7 0.664 0.132 0.000
Ho8 0.714 0.569 0.000
Ho9 0.868 0.336 0.000
Er1 0.054 0.256 0.000
Er2 0.256 0.054 0.000
Er3 0.744 0.946 0.000
Er4 0.946 0.744 0.000
Tm1 0.093 0.455 0.500
Tm2 0.133 0.867 0.500
Tm3 0.208 0.208 0.500
Tm4 0.341 0.659 0.500
Tm5 0.455 0.093 0.500
Tm6 0.500 0.500 0.500
Tm7 0.545 0.907 0.500
Tm8 0.659 0.341 0.500
Tm9 0.792 0.792 0.500
Tm10 0.867 0.133 0.500
Tm11 0.907 0.545 0.500

Results
Calculated formation energy (meV/atom): 49

***

# 23
A relaxed structure of ZrTlSb2. Source: Alexandria via LeMat-Bulk, functional GGA-PBE.

Unit cell a=4.123 b=4.123 c=6.245 alpha=90.00 beta=90.00 gamma=90.00
Fractional coordinates of all 4 atoms:
Zr1 0.000 0.000 0.000
Tl1 0.500 0.500 0.660
Sb1 0.000 0.000 0.509
Sb2 0.500 0.500 0.130

Results
Energy above the most stable polymorph in this dataset (eV per atom): 0.155
Energy relative to the elements, uncorrected (eV per atom): -0.1254

***

# 24
A relaxed structure of NbSb2Pb. Source: Alexandria via LeMat-Bulk, functional GGA-PBE.

Unit cell a=3.196 b=3.196 c=36.013 alpha=90.00 beta=90.00 gamma=120.00
Fractional coordinates of all 12 atoms:
Nb1 0.000 0.000 0.000
Nb2 0.333 0.667 0.667
Nb3 0.667 0.333 0.333
Sb1 0.000 0.000 0.079
Sb2 0.000 0.000 0.921
Sb3 0.333 0.667 0.587
Sb4 0.333 0.667 0.746
Sb5 0.667 0.333 0.254
Sb6 0.667 0.333 0.413
Pb1 0.000 0.000 0.500
Pb2 0.333 0.667 0.167
Pb3 0.667 0.333 0.833

Results
Energy relative to the elements, uncorrected (eV per atom): 0.5134

***

# 25
A relaxed structure of PbSeN2. Source: Alexandria via LeMat-Bulk, functional GGA-PBE.

Unit cell a=4.110 b=6.259 c=12.799 alpha=90.00 beta=99.21 gamma=90.00
Fractional coordinates of all 8 atoms:
Pb1 0.213 0.250 0.425
Pb2 0.787 0.750 0.575
Se1 0.211 0.750 0.422
Se2 0.789 0.250 0.578
N1 0.446 0.661 0.892
N2 0.446 0.839 0.892
N3 0.554 0.161 0.108
N4 0.554 0.339 0.108

Results
Energy above the most stable polymorph in this dataset (eV per atom): 0.000
Energy relative to the elements, uncorrected (eV per atom): -0.2086